# 1
Below is a relaxed structure of TcSn3Se, with properties calculated at the PBE-GGA level. Values from VASP.

excess energy over the best structure of this formula in the dataset	0.00	eV/f.u.
D(E_F)	1.155	states/eV per atom
electronic total energy	-25.34	eV/cell
total magnetic moment	0.000	μB/atom

Quantum ESPRESSO input file:
```
&SYSTEM
  ibrav = 0, nat = 5, ntyp = 3
/
ATOMIC_SPECIES
Tc 98.00 Tc.upf
Sn 118.71 Sn.upf
Se 78.96 Se.upf
CELL_PARAMETERS angstrom
5.148 0.000 0.000
0.000 5.148 0.000
0.000 0.000 5.148
ATOMIC_POSITIONS angstrom
Tc 0.000 0.000 0.000
Sn 0.000 0.000 2.574
Sn 0.000 2.574 0.000
Sn 2.574 0.000 0.000
Se 2.574 2.574 2.574
```



# 2
Below is a relaxed structure of TcSnSe, with properties calculated at the PBE-GGA level. Values from VASP.

excess energy over the best structure of this formula in the dataset	0.00	eV/f.u.
D(E_F)	0.791	states/eV per atom
electronic total energy	-35.68	eV/cell
total magnetic moment	0.094	μB/atom

Quantum ESPRESSO input file:
```
&SYSTEM
  ibrav = 0, nat = 6, ntyp = 3
/
ATOMIC_SPECIES
Tc 98.00 Tc.upf
Sn 118.71 Sn.upf
Se 78.96 Se.upf
CELL_PARAMETERS angstrom
3.357 0.000 0.000
-1.678 2.907 0.000
0.000 0.000 12.531
ATOMIC_POSITIONS angstrom
Tc 0.000 0.000 0.000
Tc 0.000 0.000 6.266
Sn 1.678 0.969 1.947
Sn 1.678 0.969 10.584
Se 0.000 1.938 4.631
Se 0.000 1.938 7.900
```



# 3
Below is a relaxed structure of Tc2SnSe, with properties calculated at the PBE-GGA level. Values from VASP.

excess energy over the best structure of this formula in the dataset	1.83	eV/f.u.
D(E_F)	0.009	states/eV per atom
electronic total energy	-50.29	eV/cell
total magnetic moment	0.000	μB/atom

Quantum ESPRESSO input file:
```
&SYSTEM
  ibrav = 0, nat = 8, ntyp = 3
/
ATOMIC_SPECIES
Tc 98.00 Tc.upf
Sn 118.71 Sn.upf
Se 78.96 Se.upf
CELL_PARAMETERS angstrom
-2.944 2.944 5.498
2.944 -2.944 5.498
2.944 2.944 -5.498
ATOMIC_POSITIONS angstrom
Tc 4.416 1.247 -1.374
Tc 1.247 1.472 1.374
Tc -1.472 1.697 4.123
Tc 1.697 1.472 6.872
Sn 2.944 0.000 2.749
Sn 0.000 0.000 5.498
Se 0.000 0.000 0.000
Se 0.000 2.944 2.749
```



# 4
Below is a relaxed structure of TcSn3Se, with properties calculated at the PBE-GGA level. Values from VASP.

excess energy over the best structure of this formula in the dataset	5.20	eV/f.u.
D(E_F)	1.078	states/eV per atom
electronic total energy	-20.14	eV/cell
total magnetic moment	0.734	μB/atom

Quantum ESPRESSO input file:
```
&SYSTEM
  ibrav = 0, nat = 5, ntyp = 3
/
ATOMIC_SPECIES
Tc 98.00 Tc.upf
Sn 118.71 Sn.upf
Se 78.96 Se.upf
CELL_PARAMETERS angstrom
5.422 0.000 0.000
0.000 5.422 0.000
0.000 0.000 5.422
ATOMIC_POSITIONS angstrom
Tc 0.000 0.000 0.000
Sn 0.000 2.711 2.711
Sn 2.711 0.000 2.711
Sn 2.711 2.711 0.000
Se 2.711 2.711 2.711
```



# 5
Below is a relaxed structure of Tc3SnSe, with properties calculated at the PBE-GGA level. Values from VASP.

excess energy over the best structure of this formula in the dataset	6.09	eV/f.u.
D(E_F)	1.476	states/eV per atom
electronic total energy	-27.94	eV/cell
total magnetic moment	1.784	μB/atom

Quantum ESPRESSO input file:
```
&SYSTEM
  ibrav = 0, nat = 5, ntyp = 3
/
ATOMIC_SPECIES
Tc 98.00 Tc.upf
Sn 118.71 Sn.upf
Se 78.96 Se.upf
CELL_PARAMETERS angstrom
5.040 0.000 0.000
0.000 5.040 0.000
0.000 0.000 5.040
ATOMIC_POSITIONS angstrom
Tc 0.000 0.000 2.520
Tc 0.000 2.520 0.000
Tc 2.520 0.000 0.000
Sn 0.000 0.000 0.000
Se 2.520 2.520 2.520
```



# 6
Below is a relaxed structure of TcSnSe, with properties calculated at the PBE-GGA level. Values from VASP.

excess energy over the best structure of this formula in the dataset	2.68	eV/f.u.
D(E_F)	1.162	states/eV per atom
electronic total energy	-15.16	eV/cell
total magnetic moment	0.472	μB/atom

Quantum ESPRESSO input file:
```
&SYSTEM
  ibrav = 0, nat = 3, ntyp = 3
/
ATOMIC_SPECIES
Tc 98.00 Tc.upf
Sn 118.71 Sn.upf
Se 78.96 Se.upf
CELL_PARAMETERS angstrom
0.000 3.261 3.261
3.261 0.000 3.261
3.261 3.261 0.000
ATOMIC_POSITIONS angstrom
Tc 0.000 0.000 0.000
Sn 4.891 4.891 4.891
Se 3.261 3.261 3.261
```



# 7
Below is a relaxed structure of TcSnTe2Se, with properties calculated at the PBE-GGA level. Values from VASP.

D(E_F)	0.867	states/eV per atom
electronic total energy	-20.25	eV/cell
total magnetic moment	0.485	μB/atom

Quantum ESPRESSO input file:
```
&SYSTEM
  ibrav = 0, nat = 5, ntyp = 4
/
ATOMIC_SPECIES
Tc 98.00 Tc.upf
Sn 118.71 Sn.upf
Te 127.60 Te.upf
Se 78.96 Se.upf
CELL_PARAMETERS angstrom
5.690 0.000 0.000
0.000 5.690 0.000
0.000 0.000 4.641
ATOMIC_POSITIONS angstrom
Tc 0.000 0.000 0.000
Sn 2.845 2.845 0.000
Te 0.000 2.845 2.320
Te 2.845 0.000 2.320
Se 0.000 0.000 2.320
```



# 8
Below is a relaxed structure of Th4TcSnSe2, with properties calculated at the PBE-GGA level. Values from VASP.

D(E_F)	0.772	states/eV per atom
electronic total energy	-57.99	eV/cell
total magnetic moment	0.000	μB/atom

Quantum ESPRESSO input file:
```
&SYSTEM
  ibrav = 0, nat = 8, ntyp = 4
/
ATOMIC_SPECIES
Th 232.04 Th.upf
Tc 98.00 Tc.upf
Sn 118.71 Sn.upf
Se 78.96 Se.upf
CELL_PARAMETERS angstrom
7.513 0.000 0.000
0.000 4.235 0.000
-2.425 0.000 7.231
ATOMIC_POSITIONS angstrom
Th 1.163 0.000 1.594
Th -0.087 2.118 5.622
Th 5.175 2.118 1.609
Th 3.924 0.000 5.638
Tc 0.000 2.118 0.000
Sn -1.212 0.000 3.616
Se 3.756 0.000 0.000
Se 2.544 2.118 3.616
```



# 9
Below is a relaxed structure of YTcSnSe2, with properties calculated at the PBE-GGA level. Values from VASP.

D(E_F)	0.797	states/eV per atom
electronic total energy	-24.59	eV/cell
total magnetic moment	0.818	μB/atom

Quantum ESPRESSO input file:
```
&SYSTEM
  ibrav = 0, nat = 5, ntyp = 4
/
ATOMIC_SPECIES
Y 88.91 Y.upf
Tc 98.00 Tc.upf
Sn 118.71 Sn.upf
Se 78.96 Se.upf
CELL_PARAMETERS angstrom
5.337 0.000 0.000
0.000 5.337 0.000
0.000 0.000 5.950
ATOMIC_POSITIONS angstrom
Y 0.000 0.000 0.000
Tc 2.668 2.668 2.975
Sn 0.000 0.000 2.975
Se 0.000 2.668 0.000
Se 2.668 0.000 0.000
```



# 10
Below is a relaxed structure of Sn2TeSe2, with properties calculated at the PBE-GGA level. Values from VASP.

D(E_F)	0.371	states/eV per atom
electronic total energy	-18.52	eV/cell
total magnetic moment	0.000	μB/atom

Quantum ESPRESSO input file:
```
&SYSTEM
  ibrav = 0, nat = 5, ntyp = 3
/
ATOMIC_SPECIES
Sn 118.71 Sn.upf
Te 127.60 Te.upf
Se 78.96 Se.upf
CELL_PARAMETERS angstrom
-2.121 2.121 7.708
2.121 -2.121 7.708
2.121 2.121 -7.708
ATOMIC_POSITIONS angstrom
Sn 0.000 0.000 1.639
Sn 0.000 0.000 13.777
Te 0.000 0.000 7.708
Se 2.121 0.000 3.854
Se 0.000 2.121 3.854
```



# 11
Below is a relaxed structure of Sn3TeSe6, with properties calculated at the PBE-GGA level. Values from VASP.

excess energy over the best structure of this formula in the dataset	0.08	eV/f.u.
D(E_F)	0.057	states/eV per atom
electronic total energy	-77.23	eV/cell
total magnetic moment	0.000	μB/atom

Quantum ESPRESSO input file:
```
&SYSTEM
  ibrav = 0, nat = 20, ntyp = 3
/
ATOMIC_SPECIES
Sn 118.71 Sn.upf
Te 127.60 Te.upf
Se 78.96 Se.upf
CELL_PARAMETERS angstrom
12.682 0.000 0.000
0.000 4.011 0.000
-4.878 0.000 12.045
ATOMIC_POSITIONS angstrom
Sn -0.137 1.003 2.909
Sn 2.598 3.008 4.984
Sn 4.520 1.003 0.750
Sn 3.285 3.008 11.295
Sn 5.206 1.003 7.062
Sn 7.942 3.008 9.136
Te -0.780 3.008 9.240
Te 8.585 1.003 2.805
Se -2.358 1.003 8.199
Se -2.040 3.008 11.548
Se 1.790 3.008 2.367
Se 0.776 1.003 5.535
Se 1.052 1.003 10.388
Se 4.455 1.003 4.440
Se 3.349 3.008 7.605
Se 6.753 3.008 1.657
Se 7.029 3.008 6.510
Se 6.015 1.003 9.678
Se 9.845 1.003 0.497
Se 10.163 3.008 3.847
```



# 12
Below is a relaxed structure of Sn3TeSe6, with properties calculated at the PBE-GGA level. Values from VASP.

excess energy over the best structure of this formula in the dataset	0.00	eV/f.u.
D(E_F)	0.039	states/eV per atom
electronic total energy	-77.39	eV/cell
total magnetic moment	0.000	μB/atom

Quantum ESPRESSO input file:
```
&SYSTEM
  ibrav = 0, nat = 20, ntyp = 3
/
ATOMIC_SPECIES
Sn 118.71 Sn.upf
Te 127.60 Te.upf
Se 78.96 Se.upf
CELL_PARAMETERS angstrom
10.887 0.000 0.000
0.000 4.014 0.000
-1.415 0.000 13.469
ATOMIC_POSITIONS angstrom
Sn 0.407 1.003 2.124
Sn 0.739 3.010 7.577
Sn 3.822 1.003 8.981
Sn 5.650 3.010 4.488
Sn 8.733 1.003 5.892
Sn 9.065 3.010 11.345
Te 3.605 3.010 0.680
Te 5.868 1.003 12.788
Se 0.501 1.003 5.595
Se 0.380 1.003 13.131
Se 1.028 1.003 9.441
Se 2.222 3.010 2.979
Se 3.353 3.010 7.078
Se 5.262 1.003 1.756
Se 4.210 3.010 11.712
Se 6.119 1.003 6.391
Se 7.250 1.003 10.489
Se 8.445 3.010 4.028
Se 9.092 3.010 0.337
Se 8.971 3.010 7.874
```